Entry 1:
A relaxed structure of La3Sm2Ho8, computed with PBE-GGA.

a = 5.598 Å, b = 6.885 Å, c = 12.346 Å
α = 68.68°, β = 103.13°, γ = 90.02°
Fractional positions:
Ho (0.077, 0.440, 0.155)
Ho (0.375, 0.278, 0.749)
Ho (0.333, 0.821, 0.665)
Ho (0.667, 0.179, 0.335)
Ho (0.625, 0.722, 0.251)
Ho (0.823, 0.095, 0.645)
Ho (0.177, 0.905, 0.355)
Ho (0.923, 0.560, 0.845)
Sm (0.228, 0.351, 0.456)
Sm (0.772, 0.649, 0.544)
La (0.000, 0.000, 0.000)
La (0.512, 0.272, 0.024)
La (0.488, 0.728, 0.976)

Calculated values
E above lowest polymorph in kJ/mol of atoms: 0.00
DOS(E_F) in states/eV/f.u.: 19.7
Formation enthalpy at 0 K in kJ per mole of atoms: 8.1
Density in g/cm³: 7.87
DFT total energy in eV/f.u.: -59.75



Entry 2:
A relaxed structure of La4Sm3Ho, computed with PBE-GGA.

a = 3.509 Å, b = 6.299 Å, c = 12.895 Å
α = 93.28°, β = 97.82°, γ = 90.00°
Fractional positions:
Sm (0.000, 0.500, 0.000)
Sm (0.858, 0.256, 0.715)
Sm (0.142, 0.744, 0.285)
La (0.895, 0.765, 0.790)
La (0.105, 0.235, 0.210)
La (0.280, 0.755, 0.560)
La (0.720, 0.245, 0.440)
Ho (0.500, 0.000, 0.000)

Calculated values
E above lowest polymorph in kJ/mol of atoms: 0.00
DOS(E_F) in states/eV/f.u.: 12.5
Formation enthalpy at 0 K in kJ per mole of atoms: 20.1
Density in g/cm³: 6.90
DFT total energy in eV/f.u.: -36.78



Entry 3:
A relaxed structure of LaSm5Ho6, computed with PBE-GGA.

a = 6.219 Å, b = 8.004 Å, c = 8.004 Å
α = 84.62°, β = 97.51°, γ = 97.51°
Fractional positions:
Sm (0.000, 0.666, 0.334)
Sm (0.500, 0.168, 0.832)
Sm (0.000, 0.334, 0.666)
Sm (0.500, 0.832, 0.168)
Sm (0.500, 0.500, 0.500)
Ho (0.250, 0.418, 0.084)
Ho (0.750, 0.916, 0.582)
Ho (0.250, 0.084, 0.418)
Ho (0.748, 0.250, 0.250)
Ho (0.750, 0.582, 0.916)
Ho (0.252, 0.750, 0.750)
La (0.000, 0.000, 0.000)

Calculated values
DOS(E_F) in states/eV/f.u.: 17.5
Formation enthalpy at 0 K in kJ per mole of atoms: 1.9
Density in g/cm³: 8.00
DFT total energy in eV/f.u.: -55.75



Entry 4:
A relaxed structure of La4Sm5Ho, computed with PBE-GGA.

a = 3.601 Å, b = 11.481 Å, c = 8.912 Å
α = 89.70°, β = 101.66°, γ = 90.00°
Fractional positions:
La (0.031, 0.751, 0.062)
La (0.341, 0.749, 0.681)
La (0.659, 0.251, 0.319)
La (0.969, 0.249, 0.938)
Sm (0.828, 0.051, 0.656)
Sm (0.172, 0.949, 0.344)
Sm (0.173, 0.554, 0.347)
Sm (0.500, 0.500, 0.000)
Sm (0.827, 0.446, 0.653)
Ho (0.500, 0.000, 0.000)

Calculated values
E above lowest polymorph in kJ/mol of atoms: 1.03
DOS(E_F) in states/eV/f.u.: 15.6
Formation enthalpy at 0 K in kJ per mole of atoms: 17.0
Density in g/cm³: 6.77
DFT total energy in eV/f.u.: -46.12



Entry 5:
A relaxed structure of LaSm6Ho, computed with PBE-GGA.

a = 5.133 Å, b = 5.133 Å, c = 10.273 Å
α = 90.00°, β = 90.00°, γ = 90.00°
Fractional positions:
Sm (0.500, 0.500, 0.500)
Sm (0.000, 0.500, 0.254)
Sm (0.500, 0.500, 0.000)
Sm (0.000, 0.500, 0.746)
Sm (0.500, 0.000, 0.746)
Sm (0.500, 0.000, 0.254)
La (0.000, 0.000, 0.000)
Ho (0.000, 0.000, 0.500)

Calculated values
E above lowest polymorph in kJ/mol of atoms: 0.00
DOS(E_F) in states/eV/f.u.: 13.5
Formation enthalpy at 0 K in kJ per mole of atoms: 2.2
Density in g/cm³: 7.40
DFT total energy in eV/f.u.: -37.64



Entry 6:
A relaxed structure of La12Sm6Ho, computed with PBE-GGA.

a = 9.373 Å, b = 9.373 Å, c = 9.373 Å
α = 106.88°, β = 106.88°, γ = 106.88°
Fractional positions:
Ho (0.000, 0.000, 0.000)
La (0.582, 0.485, 0.194)
La (0.816, 0.284, 0.118)
La (0.882, 0.184, 0.716)
La (0.284, 0.118, 0.816)
La (0.194, 0.582, 0.485)
La (0.716, 0.882, 0.184)
La (0.184, 0.716, 0.882)
La (0.515, 0.806, 0.418)
La (0.118, 0.816, 0.284)
La (0.485, 0.194, 0.582)
La (0.418, 0.515, 0.806)
La (0.806, 0.418, 0.515)
Sm (0.807, 0.559, 0.912)
Sm (0.193, 0.441, 0.088)
Sm (0.088, 0.193, 0.441)
Sm (0.441, 0.088, 0.193)
Sm (0.912, 0.807, 0.559)
Sm (0.559, 0.912, 0.807)

Calculated values
DOS(E_F) in states/eV/f.u.: 34.5
Formation enthalpy at 0 K in kJ per mole of atoms: 19.7
Density in g/cm³: 6.60
DFT total energy in eV/f.u.: -88.14



Entry 7:
A relaxed structure of La2Sm4Ho5, computed with PBE-GGA.

a = 3.539 Å, b = 8.738 Å, c = 14.477 Å
α = 122.79°, β = 97.02°, γ = 90.00°
Fractional positions:
Sm (0.041, 0.742, 0.083)
Sm (0.413, 0.521, 0.826)
Sm (0.959, 0.258, 0.917)
Sm (0.587, 0.479, 0.174)
Ho (0.871, 0.787, 0.743)
Ho (0.500, 0.000, 0.000)
Ho (0.815, 0.102, 0.630)
Ho (0.185, 0.898, 0.370)
Ho (0.129, 0.213, 0.257)
La (0.727, 0.630, 0.454)
La (0.273, 0.370, 0.546)

Calculated values
E above lowest polymorph in kJ/mol of atoms: 4.23
DOS(E_F) in states/eV/f.u.: 18.3
Formation enthalpy at 0 K in kJ per mole of atoms: 11.2
Density in g/cm³: 7.60
DFT total energy in eV/f.u.: -50.34



Entry 8:
A relaxed structure of La6Sm16Ho7, computed with PBE-GGA.

a = 11.332 Å, b = 11.332 Å, c = 11.332 Å
α = 60.00°, β = 60.00°, γ = 60.00°
Fractional positions:
Sm (0.347, 0.959, 0.347)
Sm (0.126, 0.623, 0.126)
Sm (0.041, 0.653, 0.653)
Sm (0.653, 0.653, 0.653)
Sm (0.623, 0.126, 0.126)
Sm (0.874, 0.874, 0.377)
Sm (0.347, 0.347, 0.959)
Sm (0.126, 0.126, 0.126)
Sm (0.653, 0.041, 0.653)
Sm (0.874, 0.874, 0.874)
Sm (0.126, 0.126, 0.623)
Sm (0.377, 0.874, 0.874)
Sm (0.959, 0.347, 0.347)
Sm (0.874, 0.377, 0.874)
Sm (0.347, 0.347, 0.347)
Sm (0.653, 0.653, 0.041)
Ho (0.000, 0.500, 0.000)
Ho (0.500, 0.500, 0.000)
Ho (0.000, 0.000, 0.500)
Ho (0.500, 0.000, 0.500)
Ho (0.000, 0.000, 0.000)
Ho (0.000, 0.500, 0.500)
Ho (0.500, 0.000, 0.000)
La (0.720, 0.720, 0.280)
La (0.280, 0.720, 0.720)
La (0.280, 0.280, 0.720)
La (0.280, 0.720, 0.280)
La (0.720, 0.280, 0.280)
La (0.720, 0.280, 0.720)

Calculated values
DOS(E_F) in states/eV/f.u.: 48.5
Formation enthalpy at 0 K in kJ per mole of atoms: 20.1
Density in g/cm³: 7.09
DFT total energy in eV/f.u.: -131.09



Please write out number 8 again, unchanged.
A relaxed structure of La6Sm16Ho7, computed with PBE-GGA.

a = 11.332 Å, b = 11.332 Å, c = 11.332 Å
α = 60.00°, β = 60.00°, γ = 60.00°
Fractional positions:
Sm (0.347, 0.959, 0.347)
Sm (0.126, 0.623, 0.126)
Sm (0.041, 0.653, 0.653)
Sm (0.653, 0.653, 0.653)
Sm (0.623, 0.126, 0.126)
Sm (0.874, 0.874, 0.377)
Sm (0.347, 0.347, 0.959)
Sm (0.126, 0.126, 0.126)
Sm (0.653, 0.041, 0.653)
Sm (0.874, 0.874, 0.874)
Sm (0.126, 0.126, 0.623)
Sm (0.377, 0.874, 0.874)
Sm (0.959, 0.347, 0.347)
Sm (0.874, 0.377, 0.874)
Sm (0.347, 0.347, 0.347)
Sm (0.653, 0.653, 0.041)
Ho (0.000, 0.500, 0.000)
Ho (0.500, 0.500, 0.000)
Ho (0.000, 0.000, 0.500)
Ho (0.500, 0.000, 0.500)
Ho (0.000, 0.000, 0.000)
Ho (0.000, 0.500, 0.500)
Ho (0.500, 0.000, 0.000)
La (0.720, 0.720, 0.280)
La (0.280, 0.720, 0.720)
La (0.280, 0.280, 0.720)
La (0.280, 0.720, 0.280)
La (0.720, 0.280, 0.280)
La (0.720, 0.280, 0.720)

Calculated values
DOS(E_F) in states/eV/f.u.: 48.5
Formation enthalpy at 0 K in kJ per mole of atoms: 20.1
Density in g/cm³: 7.09
DFT total energy in eV/f.u.: -131.09



- What is the density in the first record?
  7.87 g/cm³



What did the first record say?
A relaxed structure of La3Sm2Ho8, computed with PBE-GGA.

a = 5.598 Å, b = 6.885 Å, c = 12.346 Å
α = 68.68°, β = 103.13°, γ = 90.02°
Fractional positions:
Ho (0.077, 0.440, 0.155)
Ho (0.375, 0.278, 0.749)
Ho (0.333, 0.821, 0.665)
Ho (0.667, 0.179, 0.335)
Ho (0.625, 0.722, 0.251)
Ho (0.823, 0.095, 0.645)
Ho (0.177, 0.905, 0.355)
Ho (0.923, 0.560, 0.845)
Sm (0.228, 0.351, 0.456)
Sm (0.772, 0.649, 0.544)
La (0.000, 0.000, 0.000)
La (0.512, 0.272, 0.024)
La (0.488, 0.728, 0.976)

Calculated values
E above lowest polymorph in kJ/mol of atoms: 0.00
DOS(E_F) in states/eV/f.u.: 19.7
Formation enthalpy at 0 K in kJ per mole of atoms: 8.1
Density in g/cm³: 7.87
DFT total energy in eV/f.u.: -59.75